This record from the Alexandria database describes a geometry-optimized ZnGa2Bi structure. The functional is GGA-PBE.

Results
distance to the lowest polymorph of the same formula = 0.00 kcal/mol of atoms
energy of formation from the pure elements = 110 meV/atom

a = 3.491 Å, b = 3.491 Å, c = 7.190 Å
α = 90.00°, β = 90.00°, γ = 90.00°
Fractional positions:
Ga 0.000 0.000 0.797
Ga 0.000 0.000 0.203
Bi 0.500 0.500 0.500
Zn 0.500 0.500 0.000


This record from the Alexandria database describes a geometry-optimized Zn4GaBi structure. The functional is GGA-PBE.

Results
energy of formation from the pure elements = 150 meV/atom

a = 5.481 Å, b = 5.481 Å, c = 5.481 Å
α = 60.00°, β = 60.00°, γ = 60.00°
Fractional positions:
Zn 0.626 0.626 0.122
Zn 0.626 0.122 0.626
Zn 0.122 0.626 0.626
Zn 0.626 0.626 0.626
Bi 0.250 0.250 0.250
Ga 0.000 0.000 0.000


This record from the Alexandria database describes a geometry-optimized ZnGaBi structure. The functional is GGA-PBE.

Results
distance to the lowest polymorph of the same formula = 1.69 kcal/mol of atoms
energy of formation from the pure elements = 145 meV/atom

a = 4.405 Å, b = 4.290 Å, c = 4.290 Å
α = 120.00°, β = 90.00°, γ = 90.00°
Fractional positions:
Bi 0.682 0.667 0.333
Zn 0.059 0.000 0.000
Ga 0.259 0.333 0.667


This record from the Alexandria database describes a geometry-optimized Zr6Ga3Bi structure. The functional is GGA-PBE.

Results
energy of formation from the pure elements = -260 meV/atom

a = 6.962 Å, b = 8.301 Å, c = 8.301 Å
α = 110.64°, β = 90.00°, γ = 90.00°
Fractional positions:
Bi 0.538 0.819 0.181
Bi 0.038 0.181 0.819
Ga 0.458 0.980 0.731
Ga 0.958 0.731 0.980
Ga 0.840 0.554 0.446
Ga 0.458 0.269 0.020
Ga 0.340 0.446 0.554
Ga 0.958 0.020 0.269
Zr 0.621 0.244 0.325
Zr 0.258 0.973 0.027
Zr 0.272 0.094 0.492
Zr 0.121 0.325 0.244
Zr 0.148 0.707 0.293
Zr 0.758 0.027 0.973
Zr 0.772 0.906 0.508
Zr 0.121 0.756 0.675
Zr 0.621 0.675 0.756
Zr 0.648 0.293 0.707
Zr 0.772 0.492 0.094
Zr 0.272 0.508 0.906


This record from the Alexandria database describes a geometry-optimized Zr2GaBi structure. The functional is GGA-PBE.

Results
distance to the lowest polymorph of the same formula = 0.00 kcal/mol of atoms
energy of formation from the pure elements = -344 meV/atom

a = 3.936 Å, b = 3.936 Å, c = 7.420 Å
α = 74.62°, β = 74.62°, γ = 60.00°
Fractional positions:
Zr 0.261 0.261 0.218
Zr 0.739 0.739 0.782
Bi 0.500 0.500 0.500
Ga 0.000 0.000 0.000


This record from the Alexandria database describes a geometry-optimized Zr5Ga2Bi2 structure. The functional is GGA-PBE.

Results
energy of formation from the pure elements = -517 meV/atom

a = 7.497 Å, b = 7.429 Å, c = 8.228 Å
α = 90.00°, β = 62.90°, γ = 90.00°
Fractional positions:
Bi 0.790 0.000 0.420
Bi 0.210 0.000 0.580
Bi 0.290 0.500 0.420
Bi 0.710 0.500 0.580
Zr 0.954 0.328 0.755
Zr 0.546 0.828 0.245
Zr 0.790 0.828 0.755
Zr 0.210 0.172 0.245
Zr 0.500 0.500 0.000
Zr 0.710 0.328 0.245
Zr 0.000 0.000 0.000
Zr 0.454 0.172 0.755
Zr 0.046 0.672 0.245
Zr 0.290 0.672 0.755
Ga 0.872 0.626 0.000
Ga 0.372 0.874 0.000
Ga 0.128 0.374 0.000
Ga 0.628 0.126 0.000


This record from the Alexandria database describes a geometry-optimized Zr5GaBi structure. The functional is GGA-PBE.

Results
energy of formation from the pure elements = -16 meV/atom

a = 6.000 Å, b = 6.000 Å, c = 11.066 Å
α = 78.00°, β = 78.00°, γ = 57.60°
Fractional positions:
Bi 0.303 0.697 0.750
Bi 0.697 0.303 0.250
Zr 0.359 0.301 0.544
Zr 0.727 0.812 0.183
Zr 0.797 0.203 0.750
Zr 0.188 0.273 0.317
Zr 0.273 0.188 0.817
Zr 0.699 0.641 0.956
Zr 0.812 0.727 0.683
Zr 0.203 0.797 0.250
Zr 0.301 0.359 0.044
Zr 0.641 0.699 0.456
Ga 0.000 0.000 0.000
Ga 0.000 0.000 0.500


This record from the Alexandria database describes a geometry-optimized Zr2GaBi structure. The functional is GGA-PBE.

Results
distance to the lowest polymorph of the same formula = 20.41 kcal/mol of atoms
energy of formation from the pure elements = 541 meV/atom

a = 6.113 Å, b = 6.113 Å, c = 8.195 Å
α = 68.10°, β = 68.10°, γ = 90.00°
Fractional positions:
Ga 0.250 0.750 0.500
Ga 0.500 0.500 0.000
Zr 0.875 0.829 0.750
Zr 0.171 0.625 0.250
Zr 0.375 0.421 0.750
Zr 0.579 0.125 0.250
Bi 0.750 0.250 0.500
Bi 0.000 0.000 0.000


This record from the Alexandria database describes a geometry-optimized Zr5GaBi2 structure. The functional is GGA-PBE.

Results
distance to the lowest polymorph of the same formula = 9.76 kcal/mol of atoms
energy of formation from the pure elements = 101 meV/atom

a = 5.095 Å, b = 7.435 Å, c = 12.458 Å
α = 90.00°, β = 90.00°, γ = 110.04°
Fractional positions:
Ga 0.715 0.431 0.750
Ga 0.285 0.569 0.250
Zr 0.692 0.384 0.519
Zr 0.308 0.616 0.019
Zr 0.298 0.597 0.750
Zr 0.702 0.403 0.250
Zr 0.692 0.384 0.981
Zr 0.308 0.616 0.481
Zr 0.892 0.785 0.629
Zr 0.108 0.215 0.129
Zr 0.108 0.215 0.371
Zr 0.892 0.785 0.871
Bi 0.107 0.213 0.884
Bi 0.893 0.787 0.384
Bi 0.893 0.787 0.116
Bi 0.107 0.213 0.616


This record from the Alexandria database describes a geometry-optimized Zr2GaBi structure. The functional is GGA-PBE.

Results
distance to the lowest polymorph of the same formula = 4.25 kcal/mol of atoms
energy of formation from the pure elements = -160 meV/atom

a = 5.005 Å, b = 5.005 Å, c = 5.005 Å
α = 60.00°, β = 60.00°, γ = 60.00°
Fractional positions:
Bi 0.500 0.500 0.500
Ga 0.000 0.000 0.000
Zr 0.250 0.250 0.250
Zr 0.750 0.750 0.750


This record from the Alexandria database describes a geometry-optimized ZrGa2Bi2 structure. The functional is GGA-PBE.

Results
energy of formation from the pure elements = 26 meV/atom

a = 7.482 Å, b = 7.482 Å, c = 4.310 Å
α = 90.00°, β = 90.00°, γ = 90.00°
Fractional positions:
Zr 0.000 0.000 0.000
Zr 0.500 0.500 0.000
Ga 0.632 0.132 0.000
Ga 0.368 0.868 0.000
Ga 0.132 0.368 0.000
Ga 0.868 0.632 0.000
Bi 0.671 0.829 0.500
Bi 0.829 0.329 0.500
Bi 0.329 0.171 0.500
Bi 0.171 0.671 0.500


This record from the Alexandria database describes a geometry-optimized Zr6GaBi structure. The functional is GGA-PBE.

Results
energy of formation from the pure elements = -237 meV/atom

a = 7.950 Å, b = 7.949 Å, c = 5.621 Å
α = 44.99°, β = 44.97°, γ = 59.96°
Fractional positions:
Zr 0.756 0.000 0.746
Zr 0.499 0.756 0.744
Zr 0.244 0.000 0.254
Zr 0.999 0.501 0.744
Zr 0.001 0.499 0.256
Zr 0.501 0.244 0.256
Bi 0.500 0.500 0.500
Ga 0.000 0.000 0.000